Material: BaCaCo2
Method: DFT, PBE
State: relaxed

a = 5.963 Å, b = 5.963 Å, c = 5.963 Å
α = 138.14°, β = 138.14°, γ = 60.70°
Site moments in Bohr magnetons follow the coordinates.
Sites, in units of the cell vectors:
Ca (0.750, 0.250, 0.500)  -0.10
Co (0.000, 0.000, 0.000)  1.32
Co (0.250, 0.750, 0.500)  1.55
Ba (0.500, 0.500, 0.000)  -0.13

Calculated values
The value obtained for the size of the total moment is 2.2 μB/f.u. Its energy relative to the lowest polymorph listed for this composition is 652 meV per atom. As for the formation energy: 787.4 meV per atom. For the volume, the calculation gives 93.4 Å³/cell. The energy is -3.747 eV per atom. The space group is No. 119.